P | The following is a DFT calculation (PBE-GGA) of crystalline ScBeCr at its relaxed geometry.

abc: 4.164 9.579 4.314
angles: 90.00 90.00 90.00
Fractional positions:
Be: 0.500 0.054 0.752
Sc: 0.500 0.214 0.240
Be: 0.500 0.946 0.252
Be: 0.000 0.446 0.252
Be: 0.000 0.554 0.752
Cr: 0.000 0.984 0.509
Sc: 0.000 0.286 0.740
Cr: 0.000 0.016 0.009
Sc: 0.000 0.714 0.240
Cr: 0.500 0.484 0.509
Sc: 0.500 0.786 0.740
Cr: 0.500 0.516 0.009

Calculated values
SG: Cmc2_1 (36)
Density of states at the Fermi level (states/eV/cell): 9.80
Spin magnetization (μB/f.u.): 0.000

=====

Q | The following is a DFT calculation (PBE-GGA) of crystalline ScBeCr at its relaxed geometry.

abc: 6.434 3.150 10.309
angles: 90.00 122.91 90.00
Fractional positions:
Cr: 0.544 0.000 0.365
Be: 0.621 0.000 0.721
Sc: 0.882 0.000 0.139
Sc: 0.287 0.000 0.979
Be: 0.621 0.500 0.221
Cr: 0.884 0.500 0.916
Sc: 0.287 0.500 0.479
Cr: 0.544 0.500 0.865
Cr: 0.884 0.000 0.416
Sc: 0.882 0.500 0.639
Be: 0.256 0.000 0.685
Be: 0.256 0.500 0.185

Calculated values
SG: Cm (8)
Density of states at the Fermi level (states/eV/cell): 9.50
Spin magnetization (μB/f.u.): 0.000

=====

Top of the stability list: P, leading by 84 meV/atom.

=====

P | The following is a DFT calculation (PBE-GGA) of crystalline ScBeCr at its relaxed geometry.

abc: 3.956 4.610 9.490
angles: 90.00 90.00 90.00
Fractional positions:
Cr: 0.750 0.864 0.385
Be: 0.750 0.367 0.465
Cr: 0.750 0.364 0.885
Cr: 0.250 0.136 0.385
Be: 0.250 0.633 0.465
Be: 0.250 0.133 0.965
Sc: 0.750 0.763 0.677
Cr: 0.250 0.636 0.885
Sc: 0.250 0.737 0.177
Be: 0.750 0.867 0.965
Sc: 0.250 0.237 0.677
Sc: 0.750 0.263 0.177

Calculated values
SG: Ama2 (40)
Density of states at the Fermi level (states/eV/cell): 11.29
Spin magnetization (μB/f.u.): 0.000

=====

Q | The following is a DFT calculation (PBE-GGA) of crystalline ScBeCr at its relaxed geometry.

abc: 5.195 5.195 3.076
angles: 72.78 72.78 34.45
Last column: magnetic moment on the atom in μB.
Fractional positions:
Sc: 0.337 0.337 0.663  -0.04
Be: 0.027 0.028 0.973  -0.02
Cr: 0.635 0.635 0.365  2.55

Calculated values
SG: I4mm (107)
Density of states at the Fermi level (states/eV/cell): 2.71
Spin magnetization (μB/f.u.): 2.727

=====

Top of the stability list: P, leading by 90 meV/atom.

=====

P | The following is a DFT calculation (PBE-GGA) of crystalline ScBeCr at its relaxed geometry.

abc: 3.916 5.326 8.611
angles: 90.00 97.08 90.00
Fractional positions:
Sc: 0.232 0.000 0.934
Be: 0.737 0.798 0.485
Cr: 0.716 0.500 0.230
Cr: 0.246 0.000 0.598
Sc: 0.167 0.500 0.770
Cr: 0.246 0.500 0.098
Sc: 0.232 0.500 0.434
Be: 0.737 0.298 0.985
Be: 0.737 0.202 0.485
Be: 0.737 0.702 0.985
Sc: 0.167 0.000 0.270
Cr: 0.716 0.000 0.730

Calculated values
SG: Cm (8)
Density of states at the Fermi level (states/eV/cell): 9.21
Spin magnetization (μB/f.u.): 0.001

=====

Q | The following is a DFT calculation (PBE-GGA) of crystalline ScBeCr at its relaxed geometry.

abc: 5.402 3.197 11.033
angles: 90.00 111.86 90.00
Fractional positions:
Cr: 0.353 0.500 0.832
Be: 0.580 0.500 0.049
Cr: 0.242 0.000 0.939
Be: 0.710 0.000 0.951
Sc: 0.789 0.500 0.760
Be: 0.710 0.500 0.451
Sc: 0.789 0.000 0.260
Cr: 0.242 0.500 0.439
Cr: 0.353 0.000 0.332
Sc: 0.118 0.500 0.113
Be: 0.580 0.000 0.549
Sc: 0.118 0.000 0.613

Calculated values
SG: Cm (8)
Density of states at the Fermi level (states/eV/cell): 10.14
Spin magnetization (μB/f.u.): 0.000

=====

Top of the stability list: Q, leading by 29 meV/atom.

=====

P | The following is a DFT calculation (PBE-GGA) of crystalline ScBeCr at its relaxed geometry.

abc: 3.116 5.137 6.057
angles: 97.53 104.67 106.76
Fractional positions:
Be: 0.036 0.415 0.654
Be: 0.964 0.585 0.346
Sc: 0.778 0.863 0.707
Cr: 0.643 0.342 0.944
Sc: 0.222 0.137 0.293
Cr: 0.357 0.658 0.056

Calculated values
SG: P-1 (2)
Density of states at the Fermi level (states/eV/cell): 5.37
Spin magnetization (μB/f.u.): 0.000

=====

Q | The following is a DFT calculation (PBE-GGA) of crystalline ScBeCr at its relaxed geometry.

abc: 4.250 4.250 5.580
angles: 90.00 90.00 120.00
Last column: magnetic moment on the atom in μB.
Fractional positions:
Sc: 0.667 0.333 0.434  -0.06
Sc: 0.000 0.000 0.111  0.05
Be: 0.333 0.667 0.389  -0.01
Be: 0.667 0.333 0.884  -0.03
Cr: 0.000 0.000 0.653  -1.95
Cr: 0.333 0.667 0.818  2.36

Calculated values
SG: P3m1 (156)
Density of states at the Fermi level (states/eV/cell): 4.02
Spin magnetization (μB/f.u.): 0.148

=====

Top of the stability list: P, leading by 44 meV/atom.

=====

P | The following is a DFT calculation (PBE-GGA) of crystalline BeCr2Se at its relaxed geometry.

abc: 3.560 3.903 3.760
angles: 90.00 90.00 90.00
Last column: magnetic moment on the atom in μB.
Fractional positions:
Be: 0.000 0.500 0.500  0.01
Cr: 0.000 0.000 0.000  2.74
Se: 0.500 0.000 0.500  -0.01
Cr: 0.500 0.500 0.000  -2.70

Calculated values
SG: Pmmm (47)
Density of states at the Fermi level (states/eV/cell): 2.13
Spin magnetization (μB/f.u.): 0.051

=====

Q | The following is a DFT calculation (PBE-GGA) of crystalline BeCr2Se at its relaxed geometry.

abc: 3.038 3.038 5.246
angles: 90.00 90.00 90.00
Fractional positions:
Cr: 0.000 0.000 0.542
Be: 0.500 0.500 0.750
Se: 0.500 0.500 0.250
Cr: 0.000 0.000 0.958

Calculated values
SG: P4/mmm (123)
Density of states at the Fermi level (states/eV/cell): 4.41
Spin magnetization (μB/f.u.): 0.001

=====

Top of the stability list: Q, leading by 26 meV/atom.

=====

P | The following is a DFT calculation (PBE-GGA) of crystalline BeCr3Se at its relaxed geometry.

abc: 4.183 4.183 4.183
angles: 90.00 90.00 90.00
Last column: magnetic moment on the atom in μB.
Fractional positions:
Cr: 0.000 0.000 0.500  2.88
Cr: 0.000 0.500 0.000  2.45
Be: 0.000 0.000 0.000  -0.10
Se: 0.500 0.500 0.500  -0.10
Cr: 0.500 0.000 0.000  2.26

Calculated values
SG: Pm-3m (221)
Density of states at the Fermi level (states/eV/cell): 4.65
Spin magnetization (μB/f.u.): 8.125

=====

Q | The following is a DFT calculation (PBE-GGA) of crystalline BeCr3Se at its relaxed geometry.

abc: 4.312 4.312 4.312
angles: 90.00 90.00 90.00
Fractional positions:
Cr: 0.500 0.000 0.000
Se: 0.000 0.000 0.000
Be: 0.500 0.500 0.500
Cr: 0.000 0.000 0.500
Cr: 0.000 0.500 0.000

Calculated values
SG: Pm-3m (221)
Density of states at the Fermi level (states/eV/cell): 6.26
Spin magnetization (μB/f.u.): 0.001

=====

Top of the stability list: P, leading by 472 meV/atom.

=====

P | The following is a DFT calculation (PBE-GGA) of crystalline BeCrSe3 at its relaxed geometry.

abc: 4.795 4.795 4.795
angles: 90.00 90.00 90.00
Last column: magnetic moment on the atom in μB.
Fractional positions:
Se: 0.000 0.000 0.500  -0.08
Cr: 0.000 0.000 0.000  2.35
Be: 0.500 0.500 0.500  0.03
Se: 0.500 0.000 0.000  -0.21
Se: 0.000 0.500 0.000  -0.12

Calculated values
SG: Pm-3m (221)
Density of states at the Fermi level (states/eV/cell): 5.85
Spin magnetization (μB/f.u.): 2.033

=====

Q | The following is a DFT calculation (PBE-GGA) of crystalline BeCrSe3 at its relaxed geometry.

abc: 4.516 4.516 4.516
angles: 90.00 90.00 90.00
Last column: magnetic moment on the atom in μB.
Fractional positions:
Se: 0.000 0.500 0.000  -0.02
Be: 0.000 0.000 0.000  0.00
Se: 0.000 0.000 0.500  -0.03
Se: 0.500 0.000 0.000  0.01
Cr: 0.500 0.500 0.500  -0.17

Calculated values
SG: Pm-3m (221)
Density of states at the Fermi level (states/eV/cell): 5.37
Spin magnetization (μB/f.u.): 0.244

=====

Top of the stability list: P, leading by 135 meV/atom.

=====

P | The following is a DFT calculation (PBE-GGA) of crystalline BeCr2Si at its relaxed geometry.

abc: 2.482 2.482 7.557
angles: 90.00 90.00 104.09
Fractional positions:
Cr: 0.000 0.000 0.991
Si: 0.000 0.000 0.501
Cr: 0.500 0.500 0.252
Be: 0.500 0.500 0.757

Calculated values
SG: Cmm2 (35)
Density of states at the Fermi level (states/eV/cell): 3.17
Spin magnetization (μB/f.u.): 0.000

=====

Q | The following is a DFT calculation (PBE-GGA) of crystalline BeCr2Si at its relaxed geometry.

abc: 4.411 4.411 4.411
angles: 133.99 133.99 67.10
Fractional positions:
Be: 0.750 0.250 0.500
Cr: 0.000 0.000 0.000
Cr: 0.500 0.500 0.000
Si: 0.250 0.750 0.500

Calculated values
SG: I4/mmm (139)
Density of states at the Fermi level (states/eV/cell): 3.72
Spin magnetization (μB/f.u.): 0.001

=====

R | The following is a DFT calculation (PBE-GGA) of crystalline BeCr2Si at its relaxed geometry.

abc: 4.013 4.013 4.013
angles: 60.00 60.00 60.00
Last column: magnetic moment on the atom in μB.
Fractional positions:
Be: 0.000 0.000 0.000  0.00
Cr: 0.750 0.750 0.750  2.11
Cr: 0.250 0.250 0.250  2.11
Si: 0.500 0.500 0.500  -0.04

Calculated values
SG: Fm-3m (225)
Density of states at the Fermi level (states/eV/cell): 3.63
Spin magnetization (μB/f.u.): 4.519

=====

S | The following is a DFT calculation (PBE-GGA) of crystalline BeCr2Si at its relaxed geometry.

abc: 2.464 2.464 7.416
angles: 90.00 90.00 103.75
Fractional positions:
Cr: 0.000 0.000 0.995
Si: 0.500 0.500 0.250
Cr: 0.000 0.000 0.505
Be: 0.500 0.500 0.750

Calculated values
SG: Cmmm (65)
Density of states at the Fermi level (states/eV/cell): 2.70
Spin magnetization (μB/f.u.): 0.000

=====

Top of the stability list: Q, leading by 34 meV/atom.

=====

P | The following is a DFT calculation (PBE-GGA) of crystalline BeCr3Sn at its relaxed geometry.

abc: 5.065 5.065 5.065
angles: 90.00 90.00 90.00
Last column: magnetic moment on the atom in μB.
Fractional positions:
Cr: 0.000 0.500 0.000  3.74
Cr: 0.000 0.000 0.500  3.88
Sn: 0.000 0.000 0.000  -0.18
Be: 0.500 0.500 0.500  -0.10
Cr: 0.500 0.000 0.000  3.59

Calculated values
SG: Pm-3m (221)
Density of states at the Fermi level (states/eV/cell): 4.48
Spin magnetization (μB/f.u.): 12.206

=====

Q | The following is a DFT calculation (PBE-GGA) of crystalline BeCr3Sn at its relaxed geometry.

abc: 4.194 4.194 4.194
angles: 90.00 90.00 90.00
Last column: magnetic moment on the atom in μB.
Fractional positions:
Cr: 0.000 0.500 0.000  2.30
Sn: 0.500 0.500 0.500  -0.17
Be: 0.000 0.000 0.000  -0.09
Cr: 0.000 0.000 0.500  2.81
Cr: 0.500 0.000 0.000  2.11

Calculated values
SG: Pm-3m (221)
Density of states at the Fermi level (states/eV/cell): 3.93
Spin magnetization (μB/f.u.): 7.522

=====

Top of the stability list: Q, leading by 1190 meV/atom.

=====

P | The following is a DFT calculation (PBE-GGA) of crystalline Be3CrSn at its relaxed geometry.

abc: 4.445 4.445 4.445
angles: 90.00 90.00 90.00
Fractional positions:
Cr: 0.500 0.500 0.500
Sn: 0.000 0.000 0.000
Be: 0.500 0.000 0.000
Be: 0.000 0.000 0.500
Be: 0.000 0.500 0.000

Calculated values
SG: Pm-3m (221)
Density of states at the Fermi level (states/eV/cell): 5.66
Spin magnetization (μB/f.u.): 0.127

=====

Q | The following is a DFT calculation (PBE-GGA) of crystalline Be3CrSn at its relaxed geometry.

abc: 4.180 4.180 4.180
angles: 90.00 90.00 90.00
Fractional positions:
Cr: 0.000 0.000 0.000
Be: 0.000 0.000 0.500
Sn: 0.500 0.500 0.500
Be: 0.000 0.500 0.000
Be: 0.500 0.000 0.000

Calculated values
SG: Pm-3m (221)
Density of states at the Fermi level (states/eV/cell): 4.40
Spin magnetization (μB/f.u.): 0.002

=====

Top of the stability list: Q, leading by 751 meV/atom.

=====

P | The following is a DFT calculation (PBE-GGA) of crystalline BeCrSn3 at its relaxed geometry.

abc: 5.030 5.030 5.030
angles: 90.00 90.00 90.00
Fractional positions:
Cr: 0.000 0.000 0.000
Sn: 0.500 0.000 0.000
Sn: 0.000 0.000 0.500
Sn: 0.000 0.500 0.000
Be: 0.500 0.500 0.500

Calculated values
SG: Pm-3m (221)
Density of states at the Fermi level (states/eV/cell): 0.00
Spin magnetization (μB/f.u.): 0.000

=====

Q | The following is a DFT calculation (PBE-GGA) of crystalline BeCrSn3 at its relaxed geometry.

abc: 4.836 4.836 4.836
angles: 90.00 90.00 90.00
Last column: magnetic moment on the atom in μB.
Fractional positions:
Be: 0.000 0.000 0.000  0.01
Sn: 0.000 0.000 0.500  0.01
Sn: 0.500 0.000 0.000  -0.02
Cr: 0.500 0.500 0.500  -0.42
Sn: 0.000 0.500 0.000  -0.01

Calculated values
SG: Pm-3m (221)
Density of states at the Fermi level (states/eV/cell): 8.86
Spin magnetization (μB/f.u.): 0.501

=====

Top of the stability list: P, leading by 372 meV/atom.

=====

P | The following is a DFT calculation (PBE-GGA) of crystalline SrBeCr at its relaxed geometry.

abc: 4.768 4.768 4.768
angles: 60.00 60.00 60.00
Last column: magnetic moment on the atom in μB.
Fractional positions:
Be: 0.500 0.500 0.500  -0.11
Cr: 0.750 0.750 0.750  3.77
Sr: 0.000 0.000 0.000  0.05

Calculated values
SG: F-43m (216)
Density of states at the Fermi level (states/eV/cell): 3.30
Spin magnetization (μB/f.u.): 3.913

=====

Q | The following is a DFT calculation (PBE-GGA) of crystalline SrBeCr at its relaxed geometry.

abc: 5.049 5.049 5.049
angles: 60.00 60.00 60.00
Last column: magnetic moment on the atom in μB.
Fractional positions:
Cr: 0.500 0.500 0.500  4.10
Be: 0.000 0.000 0.000  -0.06
Sr: 0.750 0.750 0.750  0.06

Calculated values
SG: F-43m (216)
Density of states at the Fermi level (states/eV/cell): 2.28
Spin magnetization (μB/f.u.): 4.619

=====

Top of the stability list: P, leading by 387 meV/atom.